1.
The following is a DFT calculation (PBE) of crystalline CrCu2Ag at its relaxed geometry.

Results
**Density of states at the Fermi level**: 2.0 states/eV per cell
**E_form**: 0.34 eV/atom

Cell: 8.9672 8.9672 8.9672 Å, 17.22 17.22 17.22°
With the nearest neighbours (Å) after each atom.
Element x y z (fractional)
Cr  0.0000  0.0000  0.0000  6 Cu 2.59, 6 Cr 2.68
Cu  0.2552  0.2552  0.2552  3 Cr 2.59, 6 Cu 2.68, 3 Ag 2.81
Cu  0.7448  0.7448  0.7448  3 Cr 2.59, 6 Cu 2.68, 3 Ag 2.81
Ag  0.5000  0.5000  0.5000  6 Ag 2.68, 6 Cu 2.81



2.
The following is a DFT calculation (PBE) of crystalline HoEr2Pu3Se6 at its relaxed geometry.

Results
**Density of states at the Fermi level**: 25.6 states/eV per cell
**Uncorrected energy**: -8.118 eV/atom

Cell: 9.1888 9.1888 8.2369 Å, 103.98 103.98 25.57°
With the nearest neighbours (Å) after each atom.
Element x y z (fractional)
Ho  0.0000  0.0000  0.0000  6 Se 2.87
Er  0.3334  0.3334  0.6673  6 Se 2.86
Er  0.6666  0.6666  0.3327  6 Se 2.86
Pu  0.0000  0.0000  0.5000  6 Se 2.92-2.93
Pu  0.3336  0.3336  0.1670  6 Se 2.93
Pu  0.6664  0.6664  0.8330  6 Se 2.93
Se  0.1652  0.1652  0.0883  2 Er 2.86, 1 Ho 2.87, 3 Pu 2.93
Se  0.1687  0.1687  0.5780  3 Er 2.86, 3 Pu 2.93
Se  0.4979  0.4979  0.7537  1 Er 2.86, 2 Ho 2.87, 3 Pu 2.92-2.93
Se  0.5021  0.5021  0.2463  1 Er 2.86, 2 Ho 2.87, 3 Pu 2.92-2.93
Se  0.8313  0.8313  0.4220  3 Er 2.86, 3 Pu 2.93
Se  0.8348  0.8348  0.9117  2 Er 2.86, 1 Ho 2.87, 3 Pu 2.93



> Which of these has the lowest density of states at the Fermi level?

CrCu2Ag



> Look up the density of states at the Fermi level of the first one.

2.0 states/eV per cell



> Which of these has the highest density of states at the Fermi level?

HoEr2Pu3Se6



> What is the formula in the second record?

HoEr2Pu3Se6